First-principles (PBE) data for a geometry-optimized K2MgP4H8O16 structure, as listed in the Alexandria database.

Lattice parameters (Å, degrees): 6.9825 7.4892 7.6609 81.37 73.67 83.75
Last column: nearest neighbours and their distance in Å.
Space group P-1 (No. 2)
Symmetry-distinct sites (fractional):
1 K 0.1310 0.2460 0.2882 [2 per cell]  6 O 2.79-2.99, 1 H 3.10
2 Mg 0.5000 0.0000 0.5000 [1 per cell]  6 O 2.08-2.13
3 P 0.2541 0.3147 0.7566 [2 per cell]  4 O 1.51-1.63
4 P 0.3237 0.7696 0.2454 [2 per cell]  4 O 1.51-1.63
5 H 0.0490 0.7683 0.0797 [2 per cell]  1 O 1.05
6 H 0.2444 0.5528 0.4810 [2 per cell]  1 O 1.05
7 H 0.3665 0.8215 0.8572 [2 per cell]  1 O 0.99
8 H 0.3749 0.6878 0.7136 [2 per cell]  1 O 0.99
9 O 0.0796 0.2803 0.9361 [2 per cell]  1 H 1.05
10 O 0.2318 0.5858 0.3462 [2 per cell]  1 H 1.05
11 O 0.2369 0.8336 0.0846 [2 per cell]  1 H 1.46, 1 P 1.52
12 O 0.2465 0.5137 0.6738 [2 per cell]  1 H 1.47, 1 P 1.53
13 O 0.2711 0.1813 0.6226 [2 per cell]  1 P 1.51
14 O 0.3047 0.9023 0.3809 [2 per cell]  1 P 1.51
15 O 0.4350 0.7964 0.7298 [2 per cell]  2 H 0.99
16 O 0.4408 0.2811 0.8485 [2 per cell]  2 P 1.63

## Properties
**Density**: 2.15 g/cm³
**Spin magnetization**: 0.0 μB per formula unit
**Calculated total energy**: -6.113 eV per atom

First-principles (PBE) data for a geometry-optimized KMg2P2H31O23 structure, as listed in the Alexandria database.

Lattice parameters (Å, degrees): 6.3280 6.5394 13.0295 85.55 82.74 87.14
Last column: nearest neighbours and their distance in Å.
Space group P1 (No. 1)
Symmetry-distinct sites (fractional):
1 K 0.0000 0.0000 0.0000 [1 per cell]  3 O 2.55-2.82
2 Mg 0.4772 0.9541 0.3517 [1 per cell]  4 O 1.99-2.04
3 Mg 0.9723 0.4772 0.7524 [1 per cell]  5 O 2.03-2.13
4 P 0.4299 0.4438 0.4348 [1 per cell]  4 O 1.53-1.63
5 P 0.4938 0.6709 0.0522 [1 per cell]  4 O 1.55-1.57
6 H 0.0218 0.4576 0.5424 [1 per cell]  1 O 1.03
7 H 0.0702 0.9642 0.4731 [1 per cell]  1 O 0.99
8 H 0.0834 0.3277 0.3564 [1 per cell]  1 O 1.00
9 H 0.1121 0.7741 0.7981 [1 per cell]  1 O 0.99
10 H 0.1347 0.6284 0.1798 [1 per cell]  1 O 1.01
11 H 0.1587 0.7413 0.4428 [1 per cell]  1 O 0.99
12 H 0.1885 0.5518 0.9302 [1 per cell]  1 O 1.02
13 H 0.2347 0.8513 0.6896 [1 per cell]  1 O 1.00
14 H 0.2514 0.1535 0.2308 [1 per cell]  1 O 1.01
15 H 0.3593 0.2871 0.7660 [1 per cell]  1 O 0.99
16 H 0.3763 0.4017 0.6500 [1 per cell]  1 O 1.00
17 H 0.3861 0.9990 0.1473 [1 per cell]  1 O 1.02
18 H 0.4598 0.0613 0.9391 [1 per cell]  1 O 1.02
19 H 0.4666 0.3062 0.9239 [1 per cell]  1 O 1.00
20 H 0.4692 0.5872 0.2668 [1 per cell]  1 O 1.06
21 H 0.5010 0.7286 0.5912 [1 per cell]  1 O 1.00
22 H 0.5804 0.5970 0.8566 [1 per cell]  1 O 1.01
23 H 0.6105 0.7031 0.7382 [1 per cell]  1 O 1.00
24 H 0.6136 0.9340 0.6084 [1 per cell]  1 O 1.00
25 H 0.6353 0.2089 0.1558 [1 per cell]  1 O 0.98
26 H 0.7261 0.1661 0.8307 [1 per cell]  1 O 1.01
27 H 0.7314 0.1373 0.4839 [1 per cell]  1 O 1.00
28 H 0.7583 0.3891 0.0927 [1 per cell]  1 O 0.99
29 H 0.7667 0.4885 0.5756 [1 per cell]  1 O 1.00
30 H 0.8565 0.1896 0.5738 [1 per cell]  1 O 0.99
31 H 0.8721 0.8200 0.2809 [1 per cell]  1 O 1.00
32 H 0.8789 0.0560 0.3114 [1 per cell]  1 O 1.00
33 H 0.8930 0.6468 0.1430 [1 per cell]  1 O 1.00
34 H 0.9251 0.5917 0.9517 [1 per cell]  1 O 1.01
35 H 0.9385 0.0609 0.7661 [1 per cell]  1 O 0.99
36 H 0.9777 0.3833 0.2556 [1 per cell]  1 O 1.00
37 O 0.0344 0.2631 0.2969 [1 per cell]  2 H 1.00
38 O 0.0504 0.5655 0.8969 [1 per cell]  2 H 1.01-1.02
39 O 0.0895 0.8222 0.7263 [1 per cell]  2 H 0.99-1.00
40 O 0.1836 0.4639 0.4457 [1 per cell]  1 H 1.52, 1 P 1.55
41 O 0.1992 0.8861 0.4431 [1 per cell]  2 H 0.99
42 O 0.2783 0.3613 0.7135 [1 per cell]  2 H 0.99-1.00
43 O 0.3857 0.0665 0.2150 [1 per cell]  2 H 1.01-1.02
44 O 0.3972 0.5825 0.1612 [1 per cell]  2 H 1.51-1.66, 1 P 1.55
45 O 0.4091 0.8980 0.0375 [1 per cell]  1 P 1.56, 2 H 1.61
46 O 0.4211 0.5472 0.9654 [1 per cell]  1 P 1.57, 3 H 1.59-1.71
47 O 0.4782 0.1799 0.8840 [1 per cell]  2 H 1.00-1.02
48 O 0.5037 0.8368 0.6415 [1 per cell]  2 H 1.00
49 O 0.5078 0.6129 0.3412 [1 per cell]  1 H 1.06
50 O 0.5152 0.2290 0.4080 [1 per cell]  1 P 1.53
51 O 0.5179 0.5103 0.5317 [1 per cell]  1 P 1.54, 1 H 1.67
52 O 0.6816 0.6136 0.7908 [1 per cell]  2 H 1.00-1.01
53 O 0.7427 0.6559 0.0432 [1 per cell]  1 P 1.56, 2 H 1.62-1.70
54 O 0.7744 0.2431 0.1173 [1 per cell]  2 H 0.98-0.99
55 O 0.7940 0.9296 0.3224 [1 per cell]  2 H 1.00
56 O 0.8195 0.0722 0.5366 [1 per cell]  2 H 0.99-1.00
57 O 0.8840 0.1791 0.8066 [1 per cell]  2 H 0.99-1.01
58 O 0.9034 0.4476 0.6038 [1 per cell]  2 H 1.00-1.03
59 O 0.9769 0.6450 0.2030 [1 per cell]  2 H 1.00-1.01

## Properties
**Density**: 1.71 g/cm³
**Spin magnetization**: 0.2 μB per formula unit
**Calculated total energy**: -5.299 eV per atom

- Among the records above, which one has the highest density?
  K2MgP4H8O16